Below is a relaxed Cs2SrYBr6 crystal, with properties calculated at the PBE level.

Cell: 8.2970 8.2970 8.2970 Å, 60.00 60.00 60.00°
Atoms (fractional coordinates):
Cs (0.2500, 0.2500, 0.2500)
Cs (0.7500, 0.7500, 0.7500)
Sr (0.0000, 0.0000, 0.0000)
Y (0.5000, 0.5000, 0.5000)
Br (0.2567, 0.2567, 0.7433)
Br (0.2567, 0.7433, 0.2567)
Br (0.2567, 0.7433, 0.7433)
Br (0.7433, 0.2567, 0.2567)
Br (0.7433, 0.2567, 0.7433)
Br (0.7433, 0.7433, 0.2567)

Properties
Raw total energy = -3.78 eV/atom
Space group = No. 225
Uncorrected formation energy = -1.79 eV per atom
Total magnetization = 0.097 μB/atom